DFT (GGA-PBEsol) results for a relaxed ZnTeCl2 crystal.

```
ZnTeCl2
1.0
3.392 0.000 0.000
0.000 5.380 0.000
-1.696 -2.690 6.586
Zn Cl Te
1 2 1
Direct
0.292 0.792 0.584 Zn
0.911 0.911 0.822 Cl
0.665 0.165 0.329 Cl
0.633 0.633 0.265 Te
```

Summary:
The excess energy over the best structure of this formula in the dataset comes out at 0.0000 eV/atom. The uncorrected energy is -10.875 eV per cell. The formation energy without anion corrections comes out at -0.4377 eV/atom.